## UTc (PBE)

Data for a relaxed UTc crystal.

The space group is F-43m (No. 216) and the conventional cell measures 5.850, 5.850 and 5.850 Å, with angles of 90.00, 90.00 and 90.00 degrees. The distinct sites, in fractional coordinates, are U at (0.000, 0.000, 0.000) and Tc at (0.250, 0.250, 0.250).

The calculation puts the calculated formation energy at 2.1 eV per formula unit.

## Pr3Ge2Cl (PBE)

Data for a relaxed Pr3Ge2Cl crystal.

The space group is Immm (No. 71) and the conventional cell measures 4.277, 6.037 and 13.001 Å, with angles of 90.00, 90.00 and 90.00 degrees. The distinct sites, in fractional coordinates, are Pr at (0.000, 0.000, 0.000), Pr at (0.000, 0.000, 0.326), Ge at (0.000, 0.500, 0.337) and Cl at (0.000, 0.500, 0.000).

For the energy, the calculation gives -64.66 eV/cell.

## K3Fe (PBE)

Data for a relaxed K3Fe crystal.

The space group is Pm-3m (No. 221) and the conventional cell measures 5.736, 5.736 and 5.736 Å, with angles of 90.00, 90.00 and 90.00 degrees. The distinct sites, in fractional coordinates, are K at (0.000, 0.000, 0.500) and Fe at (0.500, 0.500, 0.500).

The value obtained for the excess energy over the best structure of this formula in the dataset is 37.5 kJ/mol of formula units.

## GdCuTePbSe2 (PBE)

Data for a relaxed GdCuTePbSe2 crystal.

The space group is Cmcm (No. 63) and the conventional cell measures 4.129, 14.063 and 11.176 Å, with angles of 90.00, 90.00 and 90.00 degrees. The distinct sites, in fractional coordinates, are Gd at (0.000, 0.000, 0.000), Cu at (0.000, 0.470, 0.250), Te at (0.000, 0.093, 0.250), Pb at (0.000, 0.219, 0.750) and Se at (0.000, 0.366, 0.071).

For the energy, the calculation gives -110.68 eV/cell.

## HoHgNO (PBE)

Data for a relaxed HoHgNO crystal.

The space group is P4/nmm (No. 129, origin choice 2) and the conventional cell measures 4.999, 4.999 and 4.579 Å, with angles of 90.00, 90.00 and 90.00 degrees. The distinct sites, in fractional coordinates, are Ho at (0.250, 0.750, 0.000), Hg at (0.250, 0.250, 0.496), N at (0.250, 0.250, 0.997) and O at (0.250, 0.750, 0.500).

The value obtained for the excess energy over the best structure of this formula in the dataset is 29.4 kJ/mol of formula units.

## LuNi2Ge (PBE)

Data for a relaxed LuNi2Ge crystal.

The space group is Pmn2_1 (No. 31) and the conventional cell measures 4.028, 5.786 and 5.358 Å, with angles of 90.00, 90.00 and 90.00 degrees. The distinct sites, in fractional coordinates, are Lu at (0.000, 0.089, 0.000), Ni at (0.000, 0.274, 0.504), Ni at (0.000, 0.649, 0.268) and Ge at (0.000, 0.613, 0.776).

For the energy, the calculation gives -45.11 eV/cell.